Below is crystalline InNiO2 at its relaxed geometry, with properties calculated at the PBE with a Hubbard U level.

Spin magnetization in μB/f.u.: 1.0
Uncorrected energy in eV per atom: -4.755
DOS(E_F) in states/eV per atom: 0.024

a b c (Å): 3.366 4.249 7.653
angles (deg): 90.23 90.07 92.19
Space group P1 (No. 1)
One atom of each set of equivalent atoms:
In: 0.000 0.000 0.000
In: 0.499 0.498 0.738
Ni: 0.247 0.747 0.368
Ni: 0.752 0.247 0.369
O: 0.000 0.499 0.930
O: 0.499 0.999 0.808
O: 0.501 0.998 0.193
O: 0.998 0.499 0.546